Entry 1:
# InMo2Pt

InMo2Pt after structural relaxation (GGA-PBEsol, the Alexandria database).

a = 4.0044 Å, b = 4.0044 Å, c = 8.0340 Å
α = 90.00°, β = 90.00°, γ = 90.00°
Space group I-4m2 (No. 119)
Inequivalent atoms, fractional coordinates:
In (0.0000, 0.0000, 0.0000) [2 per cell]
Mo (0.0000, 0.0000, 0.5000) [2 per cell]
Mo (0.0000, 0.5000, 0.2500) [2 per cell]
Pt (0.0000, 0.5000, 0.7500) [2 per cell]

Results
ΔH_f (0 K)	1.757	kcal/mol of atoms
raw total energy	-66.35	eV per cell
total moment	0.00	Bohr magnetons per cell
crystal system	tetragonal
D(E_F)	6.31	states/eV per cell

=====

Entry 2:
# Li2VSiO4

Li2VSiO4 after structural relaxation (GGA-PBEsol, the Alexandria database).

a = 4.8116 Å, b = 5.0055 Å, c = 11.4399 Å
α = 86.83°, β = 88.74°, γ = 62.19°
Space group P1 (No. 1)
Inequivalent atoms, fractional coordinates:
Li (0.0000, 0.0000, 0.0000) [1 per cell]
Li (0.0864, 0.7596, 0.4851) [1 per cell]
Li (0.1854, 0.2387, 0.3107) [1 per cell]
Li (0.3649, 0.2841, 0.8317) [1 per cell]
Li (0.5357, 0.5531, 0.1856) [1 per cell]
Li (0.7769, 0.4257, 0.6738) [1 per cell]
V (0.1456, 0.8192, 0.7287) [1 per cell]
V (0.2312, 0.3809, 0.0533) [1 per cell]
V (0.7007, 0.3894, 0.4462) [1 per cell]
Si (0.4323, 0.0846, 0.5797) [1 per cell]
Si (0.6656, 0.6720, 0.9213) [1 per cell]
Si (0.8248, 0.8936, 0.2478) [1 per cell]
O (0.9997, 0.6826, 0.8882) [1 per cell]
O (0.0876, 0.7626, 0.1438) [1 per cell]
O (0.2140, 0.2037, 0.6965) [1 per cell]
O (0.2916, 0.3237, 0.4659) [1 per cell]
O (0.3944, 0.0071, 0.9528) [1 per cell]
O (0.4548, 0.7478, 0.5664) [1 per cell]
O (0.4925, 0.1678, 0.1961) [1 per cell]
O (0.5592, 0.5455, 0.8109) [1 per cell]
O (0.7614, 0.6187, 0.3056) [1 per cell]
O (0.7682, 0.4271, 0.0345) [1 per cell]
O (0.7818, 0.0634, 0.5978) [1 per cell]
O (0.9564, 0.0212, 0.3510) [1 per cell]

Results
E_form (uncorrected)	-2198	meV/atom
raw total energy	-173.70	eV per cell
total moment	9.00	Bohr magnetons per cell
crystal system	triclinic
D(E_F)	4.82	states/eV per cell

=====

Entry 3:
# LiNbTeI2

LiNbTeI2 after structural relaxation (GGA-PBEsol, the Alexandria database).

a = 5.0716 Å, b = 5.0716 Å, c = 5.1618 Å
α = 90.00°, β = 90.00°, γ = 90.00°
Space group P4/mmm (No. 123)
Inequivalent atoms, fractional coordinates:
Li (0.0000, 0.0000, 0.0000) [1 per cell]
Nb (0.5000, 0.5000, 0.5000) [1 per cell]
Te (0.0000, 0.0000, 0.5000) [1 per cell]
I (0.0000, 0.5000, 0.0000) [2 per cell]

Results
E_form (uncorrected)	498	meV/atom
raw total energy	-17.36	eV per cell
total moment	2.38	Bohr magnetons per cell
crystal system	tetragonal
D(E_F)	4.17	states/eV per cell

=====

Entry 4:
# TiNbAlC

TiNbAlC after structural relaxation (GGA-PBEsol, the Alexandria database).

a = 3.0721 Å, b = 3.0721 Å, c = 13.7787 Å
α = 90.00°, β = 90.00°, γ = 120.00°
Space group P-3m1 (No. 164)
Inequivalent atoms, fractional coordinates:
Ti (0.3333, 0.6667, 0.0821) [2 per cell]
Nb (0.3333, 0.6667, 0.4094) [2 per cell]
Al (0.3333, 0.6667, 0.7547) [2 per cell]
C (0.0000, 0.0000, 0.0000) [1 per cell]
C (0.0000, 0.0000, 0.5000) [1 per cell]

Results
ΔH_f (0 K)	-14.960	kcal/mol of atoms
raw total energy	-70.95	eV per cell
total moment	0.00	Bohr magnetons per cell
crystal system	trigonal
D(E_F)	2.32	states/eV per cell